Record 1
Material: TiIn2SiNi
Method: DFT, GGA-PBE
State: relaxed

Properties
The calculation puts the uncorrected formation energy at 0.40 eV per atom. Its calculated total energy is -22.58 eV for the cell shown.

a = 4.9128 Å, b = 4.9128 Å, c = 4.2742 Å
α = 90.00°, β = 90.00°, γ = 90.00°
Sites, in units of the cell vectors:
Ti 0.0000 0.0000 0.0000
In 0.0000 0.5000 0.5000
In 0.5000 0.0000 0.5000
Si 0.5000 0.5000 0.0000
Ni 0.5000 0.5000 0.5000

Record 2
Material: TlIn2SiNi
Method: DFT, GGA-PBE
State: relaxed

Properties
The calculation puts the uncorrected formation energy at 1.12 eV per atom. Its calculated total energy is -13.43 eV for the cell shown.

a = 5.6058 Å, b = 5.6058 Å, c = 4.8121 Å
α = 90.00°, β = 90.00°, γ = 90.00°
Sites, in units of the cell vectors:
Tl 0.0000 0.0000 0.0000
In 0.0000 0.5000 0.0000
In 0.5000 0.0000 0.0000
Si 0.5000 0.5000 0.5000
Ni 0.0000 0.0000 0.5000

Record 3
Material: InSi2NiW
Method: DFT, GGA-PBE
State: relaxed

Properties
The calculation puts the uncorrected formation energy at 2.03 eV per atom. Its calculated total energy is -22.15 eV for the cell shown.

a = 4.8143 Å, b = 4.8143 Å, c = 4.5035 Å
α = 90.00°, β = 90.00°, γ = 90.00°
Sites, in units of the cell vectors:
In 0.0000 0.0000 0.0000
Si 0.0000 0.5000 0.0000
Si 0.5000 0.0000 0.0000
Ni 0.0000 0.0000 0.5000
W 0.5000 0.5000 0.5000

Record 4
Material: YInSi2Ni
Method: DFT, GGA-PBE
State: relaxed

Properties
The calculation puts the uncorrected formation energy at 0.67 eV per atom. As for the relative energy among the computed polymorphs: 0.748 eV per atom. Its calculated total energy is -22.48 eV for the cell shown.

a = 5.0277 Å, b = 5.0277 Å, c = 4.6522 Å
α = 90.00°, β = 90.00°, γ = 90.00°
Sites, in units of the cell vectors:
Y 0.0000 0.0000 0.0000
In 0.5000 0.5000 0.5000
Si 0.0000 0.5000 0.5000
Si 0.5000 0.0000 0.5000
Ni 0.5000 0.5000 0.0000

What is the calculated total energy in the first record?
-22.58 eV for the cell shown

What did the second record say?
Material: TlIn2SiNi
Method: DFT, GGA-PBE
State: relaxed

Properties
The calculation puts the uncorrected formation energy at 1.12 eV per atom. Its calculated total energy is -13.43 eV for the cell shown.

a = 5.6058 Å, b = 5.6058 Å, c = 4.8121 Å
α = 90.00°, β = 90.00°, γ = 90.00°
Sites, in units of the cell vectors:
Tl 0.0000 0.0000 0.0000
In 0.0000 0.5000 0.0000
In 0.5000 0.0000 0.0000
Si 0.5000 0.5000 0.5000
Ni 0.0000 0.0000 0.5000